[1]
DFT (PBEsol) results for a geometry-optimized KNbCu3 structure.

Calculated values
The calculation puts the relative energy among the computed polymorphs at 429.3 kJ/mol of formula units.

Cell: 4.5761 4.5761 4.5761 Å, 90.00 90.00 90.00°
Site moments in Bohr magnetons follow the coordinates.
Positions (direct):
Cu  0.0000  0.5000  0.0000  0.03
Nb  0.5000  0.5000  0.5000  1.58
Cu  0.0000  0.0000  0.5000  0.03
K  0.0000  0.0000  0.0000  -0.01
Cu  0.5000  0.0000  0.0000  0.03



[2]
DFT (PBEsol) results for a geometry-optimized KNb3CuO9 structure.

Calculated values
Its uncorrected formation energy is -31.0 eV/f.u.

Cell: 7.7054 8.8662 10.1918 Å, 90.00 90.00 90.00°
Site moments in Bohr magnetons follow the coordinates.
Positions (direct):
K  0.8116  0.0846  0.7602  0.00
O  0.0539  0.8518  0.7487  0.01
O  0.8041  0.2807  0.0506  0.07
O  0.8051  0.5563  0.1832  0.06
O  0.6255  0.5834  0.6123  0.07
O  0.0136  0.2732  0.6200  0.00
Nb  0.0736  0.1969  0.0621  0.02
O  0.3041  0.2807  0.4494  0.07
K  0.8116  0.9154  0.2398  0.00
O  0.3051  0.4437  0.6832  0.06
Nb  0.0736  0.8031  0.9379  0.02
K  0.3116  0.9154  0.2602  0.00
O  0.1223  0.0000  0.5000  0.02
O  0.5539  0.1482  0.2487  0.01
O  0.4812  0.4168  0.1138  0.07
O  0.5136  0.2732  0.8800  0.00
Nb  0.5621  0.4305  0.7518  0.04
Cu  0.3110  0.5000  0.5000  0.56
O  0.4885  0.0000  0.5000  0.01
Nb  0.0653  0.2045  0.4385  0.03
O  0.5539  0.8518  0.7513  0.01
Nb  0.5653  0.2045  0.0615  0.03
K  0.3116  0.0846  0.7398  0.00
O  0.8041  0.7193  0.9494  0.07
Cu  0.8046  0.5000  0.5000  0.56
O  0.3051  0.5563  0.3168  0.06
O  0.1255  0.5834  0.8877  0.07
O  0.0539  0.1482  0.2513  0.01
Cu  0.3046  0.5000  0.0000  0.56
O  0.1255  0.4166  0.1123  0.07
Nb  0.5621  0.5695  0.2482  0.04
O  0.5917  0.7275  0.3768  0.01
Cu  0.8110  0.5000  0.0000  0.56
O  0.6223  0.0000  0.0000  0.02
O  0.3041  0.7193  0.5506  0.07
Nb  0.0621  0.5695  0.2518  0.04
O  0.9812  0.5832  0.6138  0.07
O  0.8069  0.1440  0.4414  0.01
Nb  0.0653  0.7955  0.5615  0.03
O  0.5917  0.2725  0.6232  0.01
O  0.0917  0.2725  0.8768  0.01
O  0.4812  0.5832  0.8862  0.07
Nb  0.5653  0.7955  0.9385  0.03
O  0.0136  0.7268  0.3800  0.00
O  0.9812  0.4168  0.3862  0.07
Nb  0.5736  0.1969  0.4379  0.02
O  0.3069  0.8560  0.9414  0.01
O  0.8051  0.4437  0.8168  0.06
O  0.5136  0.7268  0.1200  0.00
Nb  0.5736  0.8031  0.5621  0.02
O  0.8069  0.8560  0.5586  0.01
O  0.6255  0.4166  0.3877  0.07
O  0.3069  0.1440  0.0586  0.01
O  0.9885  0.0000  0.0000  0.01
Nb  0.0621  0.4305  0.7482  0.04
O  0.0917  0.7275  0.1232  0.01